Compound: MnSi2Os
Source: Alexandria via LeMat-Bulk
Functional: PBEsol
Structure: relaxed

uncorrected formation energy	-0.30	eV/atom
Fermi-level density of states	3.224	states/eV per cell
space group	Pmm2 (25)
crystal system	orthorhombic
theoretical density	10.3	g/cm3

```
4
Lattice="2.7997 0.0000 0.0000 0.0000 4.1551 0.0000 0.0000 0.0000 4.1838" Properties=species:S:1:pos:R:3 pbc="T T T"
Mn 0.0000 2.1235 0.0000
Os 1.3998 3.0232 2.0919
Si 1.3998 0.1762 0.0000
Si 0.0000 0.9097 2.0919
```

---

Compound: Mn2SiOs
Source: Alexandria via LeMat-Bulk
Functional: PBEsol
Structure: relaxed

uncorrected formation energy	-0.29	eV/atom
Fermi-level density of states	1.300	states/eV per cell
space group	F-43m (216)
crystal system	cubic
theoretical density	11.5	g/cm3

```
4
Lattice="-0.9581 -0.1648 3.9416 -2.5647 -2.8435 1.3484 1.3770 -3.0504 2.2979" Properties=species:S:1:pos:R:3 pbc="T T T"
Si -1.6094 -4.5440 5.6909
Mn 0.0000 0.0000 0.0000
Mn -0.5365 -1.5147 1.8970
Os -1.0729 -3.0294 3.7939
```

---

Compound: Mn2SiOs
Source: Alexandria via LeMat-Bulk
Functional: PBEsol
Structure: relaxed

uncorrected formation energy	0.20	eV/atom
Fermi-level density of states	4.521	states/eV per cell
space group	Cmm2 (35)
crystal system	orthorhombic
theoretical density	11.0	g/cm3

```
4
Lattice="-1.8233 -1.4143 -1.3013 0.2406 -0.5819 2.5733 -5.3893 5.3676 1.7176" Properties=species:S:1:pos:R:3 pbc="T T T"
Mn -0.0398 0.0396 0.0127
Mn -4.9051 3.0991 1.9470
Os -2.6489 2.6383 0.8442
Si -2.0729 0.2783 1.0444
```

---

Compound: MnSi2Os
Source: Alexandria via LeMat-Bulk
Functional: PBEsol
Structure: relaxed

uncorrected formation energy	-0.38	eV/atom
Fermi-level density of states	2.697	states/eV per cell
space group	Cm (8)
crystal system	monoclinic
theoretical density	10.3	g/cm3

```
4
Lattice="2.8428 0.0000 0.0000 0.0000 4.2104 -0.0389 -1.4214 -1.2571 4.0573" Properties=species:S:1:pos:R:3 pbc="T T T"
Si 0.0000 0.1846 0.0042
Si 0.0000 2.2942 1.9749
Mn 1.4214 2.4041 0.0133
Os 1.4214 0.1759 2.0059
```

---

Compound: MnSi2Os
Source: Alexandria via LeMat-Bulk
Functional: PBEsol
Structure: relaxed

uncorrected formation energy	-0.05	eV/atom
Fermi-level density of states	2.727	states/eV per cell
space group	P2/m (10)
crystal system	monoclinic
theoretical density	10.0	g/cm3

```
4
Lattice="2.7462 0.0000 -0.0196 0.0000 3.7783 0.0000 -0.1535 0.0000 4.8328" Properties=species:S:1:pos:R:3 pbc="T T T"
Mn 1.3731 1.8891 -0.0098
Os -0.0767 1.8891 2.4164
Si 1.7472 0.0000 3.6427
Si 0.8455 0.0000 1.1706
```

---

Compound: MnSi2Os
Source: Alexandria via LeMat-Bulk
Functional: PBEsol
Structure: relaxed

uncorrected formation energy	-0.43	eV/atom
Fermi-level density of states	2.589	states/eV per cell
space group	P4/mmm (123)
crystal system	tetragonal
theoretical density	10.8	g/cm3

```
4
Lattice="-1.3997 1.4175 2.0510 -2.4803 -0.5534 -1.3103 -0.5026 -4.8162 2.9856" Properties=species:S:1:pos:R:3 pbc="T T T"
Si -0.3869 -3.7079 2.2985
Si -0.1156 -1.1083 0.6870
Mn -1.9400 0.4320 0.3704
Os -2.1913 -1.9761 1.8631
```

---

Compound: MnSi2Os
Source: Alexandria via LeMat-Bulk
Functional: PBEsol
Structure: relaxed

uncorrected formation energy	-0.23	eV/atom
Fermi-level density of states	3.012	states/eV per cell
space group	C2/m (12)
crystal system	monoclinic
theoretical density	10.2	g/cm3

```
4
Lattice="2.7527 0.0000 0.0000 -1.3763 3.8902 -0.0120 0.0000 -0.9044 4.5929" Properties=species:S:1:pos:R:3 pbc="T T T"
Mn 1.3763 0.0000 0.0000
Os 0.0000 -0.4522 2.2964
Si 1.3763 1.2643 3.5108
Si 0.0000 1.7215 1.0701
```

---

Compound: MnSi2Os
Source: Alexandria via LeMat-Bulk
Functional: PBEsol
Structure: relaxed

uncorrected formation energy	-0.02	eV/atom
Fermi-level density of states	3.293	states/eV per cell
space group	Cmmm (65)
crystal system	orthorhombic
theoretical density	9.9	g/cm3

```
4
Lattice="-1.5062 2.0032 -1.1286 -0.3382 -2.5507 -0.9669 -5.4348 -1.2128 5.1004" Properties=species:S:1:pos:R:3 pbc="T T T"
Mn -3.6396 -0.8802 1.5025
Os -0.9222 -0.2737 -1.0477
Si -1.4296 -0.3190 1.3417
Si -4.0051 -0.8938 3.7587
```

---

Compound: Mn2Sn2Os
Source: Alexandria via LeMat-Bulk
Functional: PBEsol
Structure: relaxed

DFT formation energy	1.0884	eV per atom
Fermi-level density of states	5.615	states/eV per cell
space group	I4/mmm (139)
crystal system	tetragonal
theoretical density	10.6	g/cm3

```
5
Lattice="-3.7222 -0.1712 -0.8780 0.2963 -3.7812 -0.5191 0.4455 1.1162 6.2395" Properties=species:S:1:pos:R:3 pbc="T T T"
Mn -1.0475 -0.7107 4.5794
Mn -1.9329 -2.1255 0.2631
Os 0.0000 0.0000 0.0000
Sn -0.4855 -2.3206 2.5110
Sn -2.4948 -0.5156 2.3315
```

---

Compound: Ta2MnOs
Source: Alexandria via LeMat-Bulk
Functional: PBEsol
Structure: relaxed

DFT formation energy	-0.2575	eV per atom
energy relative to the lowest polymorph listed for this composition	3	meV/atom
Fermi-level density of states	3.043	states/eV per cell
space group	Fm-3m (225)
crystal system	cubic
theoretical density	16.9	g/cm3

```
4
Lattice="-0.8506 -3.4489 2.5708 -1.9786 -3.5410 -1.6655 2.2493 -3.7282 -0.5178" Properties=species:S:1:pos:R:3 pbc="T T T"
Mn 0.0000 0.0000 0.0000
Os -0.2899 -5.3590 0.1937
Ta -0.1450 -2.6795 0.0969
Ta -0.4349 -8.0386 0.2906
```

---

Compound: Ta2MnOs
Source: Alexandria via LeMat-Bulk
Functional: PBEsol
Structure: relaxed

DFT formation energy	-0.2601	eV per atom
energy relative to the lowest polymorph listed for this composition	0	meV/atom
Fermi-level density of states	2.633	states/eV per cell
space group	P4/mmm (123)
crystal system	tetragonal
theoretical density	17.0	g/cm3

```
4
Lattice="-0.0932 1.7509 -2.5206 -1.9578 -1.9759 -1.3002 -4.8366 3.2082 2.4074" Properties=species:S:1:pos:R:3 pbc="T T T"
Mn -1.0255 -0.1125 -1.9104
Os -3.4438 1.4916 -0.7067
Ta -3.6983 2.4531 1.8408
Ta -1.1383 0.7551 0.5666
```

---

Compound: Ta2MnOs
Source: Alexandria via LeMat-Bulk
Functional: PBEsol
Structure: relaxed

DFT formation energy	-0.0553	eV per atom
energy relative to the lowest polymorph listed for this composition	205	meV/atom
Fermi-level density of states	3.198	states/eV per cell
space group	P4mm (99)
crystal system	tetragonal
theoretical density	16.6	g/cm3

```
4
Lattice="3.1313 0.0000 0.0000 0.0000 3.1313 0.0000 0.0000 0.0000 6.1979" Properties=species:S:1:pos:R:3 pbc="T T T"
Mn 0.0000 0.0000 3.0754
Os 1.5656 1.5656 4.6217
Ta 0.0000 0.0000 6.1170
Ta 1.5656 1.5656 1.6807
```

---

Compound: Mn2TcOs
Source: Alexandria via LeMat-Bulk
Functional: PBEsol
Structure: relaxed

DFT formation energy	0.1714	eV per atom
Fermi-level density of states	4.894	states/eV per cell
space group	R-3m (166)
crystal system	trigonal
theoretical density	13.2	g/cm3

```
4
Lattice="2.6237 0.0000 0.0000 1.3119 2.2722 0.0000 1.3119 0.7574 8.3770" Properties=species:S:1:pos:R:3 pbc="T T T"
Mn 1.3119 0.7574 2.0980
Mn 3.9356 2.2722 6.2790
Os 2.6237 1.5148 4.1885
Tc 0.0000 0.0000 0.0000
```

---

Compound: Mn4TcOs
Source: Alexandria via LeMat-Bulk
Functional: PBEsol
Structure: relaxed

DFT formation energy	-0.0271	eV per atom
Fermi-level density of states	7.254	states/eV per cell
space group	F-43m (216)
crystal system	cubic
theoretical density	12.3	g/cm3

```
6
Lattice="4.5998 0.0000 0.0000 2.2999 3.9835 0.0000 2.2999 1.3278 3.7557" Properties=species:S:1:pos:R:3 pbc="T T T"
Mn 3.4541 1.9942 1.4101
Mn 4.5998 2.6557 3.2811
Mn 5.7455 1.9942 1.4101
Mn 4.5998 3.9786 1.4101
Os 6.8997 3.9835 2.8168
Tc 0.0000 0.0000 0.0000
```

---

Compound: Mn2TcOs
Source: Alexandria via LeMat-Bulk
Functional: PBEsol
Structure: relaxed

DFT formation energy	0.0184	eV per atom
Fermi-level density of states	3.732	states/eV per cell
space group	Amm2 (38)
crystal system	orthorhombic
theoretical density	13.5	g/cm3

```
4
Lattice="-0.5002 2.5819 -0.0479 -0.3771 -0.1458 -3.9213 -4.3597 -2.1751 0.5001" Properties=species:S:1:pos:R:3 pbc="T T T"
Mn -3.0780 0.7486 0.2682
Mn -2.2187 0.8766 -1.8007
Os -0.7067 -0.1356 0.0730
Tc -4.1105 -0.8251 -1.5555
```